A relaxed Pm12DySi6 crystal. Source: Alexandria via LeMat-Bulk, functional PBE.

a b c (Å): 8.612 8.612 8.612
angles (deg): 103.76 103.76 103.76
Atoms (fractional coordinates):
Pm (0.824, 0.560, 0.560)
Pm (0.122, 0.500, 0.878)
Si (0.252, 0.697, 0.252)
Pm (0.440, 0.440, 0.176)
Dy (0.000, 0.000, 0.000)
Pm (0.176, 0.440, 0.440)
Pm (0.440, 0.176, 0.440)
Pm (0.560, 0.824, 0.560)
Pm (0.500, 0.122, 0.878)
Si (0.303, 0.748, 0.748)
Pm (0.500, 0.878, 0.122)
Si (0.252, 0.252, 0.697)
Si (0.748, 0.303, 0.748)
Pm (0.560, 0.560, 0.824)
Pm (0.878, 0.122, 0.500)
Pm (0.122, 0.878, 0.500)
Si (0.748, 0.748, 0.303)
Pm (0.878, 0.500, 0.122)
Si (0.697, 0.252, 0.252)

M_tot ... 0.000 μB/atom
Uncorrected energy ... -0.3858 Ry/atom
Energy relative to the elements, uncorrected ... -28.4 kJ per mole of atoms

=====

A relaxed SbAs2Pd8 crystal. Source: Alexandria via LeMat-Bulk, functional PBE.

a b c (Å): 4.520 6.764 6.764
angles (deg): 112.42 99.46 99.46
Atoms (fractional coordinates):
Sb (0.500, 0.000, 0.000)
As (0.000, 0.678, 0.322)
Pd (0.096, 0.070, 0.324)
Pd (0.096, 0.324, 0.070)
Pd (0.904, 0.676, 0.930)
Pd (0.500, 0.237, 0.763)
Pd (0.904, 0.930, 0.676)
Pd (0.500, 0.763, 0.237)
As (0.000, 0.322, 0.678)
Pd (0.328, 0.624, 0.624)
Pd (0.672, 0.376, 0.376)

M_tot ... 0.000 μB/atom
Uncorrected energy ... -0.3939 Ry/atom
Energy relative to the elements, uncorrected ... -34.9 kJ per mole of atoms

=====

A relaxed Pm2Sm3Sn4 crystal. Source: Alexandria via LeMat-Bulk, functional PBE.

a b c (Å): 4.904 6.236 10.213
angles (deg): 97.31 90.00 113.16
Atoms (fractional coordinates):
Pm (0.676, 0.351, 0.817)
Sm (0.375, 0.750, 0.580)
Pm (0.324, 0.649, 0.183)
Sn (0.092, 0.185, 0.626)
Sm (0.000, 0.000, 0.000)
Sn (0.357, 0.713, 0.880)
Sm (0.625, 0.250, 0.420)
Sn (0.908, 0.815, 0.374)
Sn (0.643, 0.287, 0.120)

M_tot ... 0.000 μB/atom
DFT formation energy ... -5.4 eV/f.u.
Uncorrected energy ... -0.3684 Ry/atom

=====

- Among the records above, which one has the lowest uncorrected energy?
  SbAs2Pd8

=====

- Among the records above, which one has the lowest uncorrected energy?
  SbAs2Pd8

=====

- The lowest uncorrected energy belongs to which entry?
  SbAs2Pd8

=====

- The highest uncorrected energy belongs to which entry?
  Pm2Sm3Sn4